Material: CrTcIr2Ru4
Method: DFT, GGA-PBE
State: relaxed

a = 7.2664 Å, b = 7.2664 Å, c = 5.3052 Å
α = 111.29°, β = 111.29°, γ = 85.56°
Sites, in units of the cell vectors:
Cr: 0.0000 0.5000 0.0000
Cr: 0.5000 0.0000 0.5000
Tc: 0.0000 0.0000 0.0000
Tc: 0.0000 0.0000 0.5000
Ir: 0.0000 0.5000 0.5000
Ir: 0.5000 0.0000 0.0000
Ir: 0.5000 0.5000 0.0000
Ir: 0.5000 0.5000 0.5000
Ru: 0.2276 0.2793 0.0039
Ru: 0.2365 0.7628 0.0006
Ru: 0.2372 0.7635 0.4994
Ru: 0.2793 0.2276 0.5039
Ru: 0.7207 0.7724 0.4961
Ru: 0.7628 0.2365 0.5006
Ru: 0.7635 0.2372 0.9994
Ru: 0.7724 0.7207 0.9961

Summary:
D(E_F) in states/eV/f.u.: 11.24
Final energy in eV/cell: -138.7
Formation energy from the elements in eV/atom: 0.686
Symmetry: C2/c, No. 15
Magnetization in μB per cell: 0.0